{"formula": "Cr2H2Ir", "functional": "PBE-GGA", "state": "relaxed", "space_group": "No. 139", "rho_g_cm3": 10.983, "total_magnetization_mub_per_fu": 4.65, "total_energy_ev_per_cell": -34.0, "lattice_angstrom": [[3.227, 0.000, 0.000], [0.000, 3.227, 0.000], [1.614, 1.614, 4.329]], "species": ["H", "H", "Ir", "Cr", "Cr"], "frac_coords": [[0.750, 0.250, 0.500], [0.250, 0.750, 0.500], [0.000, 0.000, 0.000], [0.339, 0.339, 0.322], [0.661, 0.661, 0.678]]}

***

{"formula": "BeSbTe2", "functional": "PBE-GGA", "state": "relaxed", "space_group": "No. 119", "rho_g_cm3": 4.860, "raw_formation_energy_mev_per_atom": 574.0, "total_magnetization_mub_per_fu": 0.00, "lattice_angstrom": [[-4.605, -2.680, 6.780], [-0.406, -6.389, 5.777], [4.215, 6.000, -4.538]], "species": ["Sb", "Be", "Te", "Te"], "frac_coords": [[0.750, 0.250, 0.500], [0.500, 0.500, 0.000], [0.000, 0.000, 0.000], [0.250, 0.750, 0.500]]}

***

{"formula": "FeSi2Ir", "functional": "PBE-GGA", "state": "relaxed", "space_group": "No. 99", "rho_g_cm3": 9.418, "raw_formation_energy_mev_per_atom": -20.2, "total_magnetization_mub_per_fu": 1.90, "lattice_angstrom": [[-0.333, -0.142, 2.693], [0.580, -2.653, -0.068], [7.043, 1.515, 0.950]], "species": ["Fe", "Si", "Si", "Ir"], "frac_coords": [[0.000, 0.000, 0.496], [0.000, 0.000, 0.976], [0.500, 0.500, 0.280], [0.500, 0.500, 0.748]]}

***

Please write out number 2 again, unchanged.
{"formula": "BeSbTe2", "functional": "PBE-GGA", "state": "relaxed", "space_group": "No. 119", "rho_g_cm3": 4.860, "raw_formation_energy_mev_per_atom": 574.0, "total_magnetization_mub_per_fu": 0.00, "lattice_angstrom": [[-4.605, -2.680, 6.780], [-0.406, -6.389, 5.777], [4.215, 6.000, -4.538]], "species": ["Sb", "Be", "Te", "Te"], "frac_coords": [[0.750, 0.250, 0.500], [0.500, 0.500, 0.000], [0.000, 0.000, 0.000], [0.250, 0.750, 0.500]]}